Density functional theory data (PBE) for a geometry-optimized Y2GePd6 structure.

POSCAR file:
```
Y2GePd6
1.0
5.7221 0.0000 0.0000
-2.8611 4.9555 0.0000
0.0000 0.0000 5.7786
Y Ge Pd
2 1 6
Direct
0.3333 0.6667 0.3238
0.6667 0.3333 0.6762
0.0000 0.0000 0.5000
0.1733 0.3465 0.8076
0.1733 0.8267 0.8076
0.3465 0.1733 0.1924
0.6535 0.8267 0.8076
0.8267 0.1733 0.1924
0.8267 0.6535 0.1924
```

Properties
- Energy: -55.90 eV per cell
- Crystal system: trigonal

=====

Density functional theory data (PBE) for a geometry-optimized MnAgTe3Pb structure.

POSCAR file:
```
MnAgTe3Pb
1.0
8.1401 0.0000 0.0000
0.0000 4.1892 0.0000
-3.0048 0.0000 9.6025
Mn Ag Te Pb
2 2 6 2
Direct
0.1905 0.2500 0.1620
0.8095 0.7500 0.8380
0.4198 0.7500 0.4038
0.5802 0.2500 0.5962
0.0575 0.2500 0.8718
0.2020 0.2500 0.4496
0.4120 0.7500 0.1265
0.5880 0.2500 0.8735
0.7980 0.7500 0.5504
0.9425 0.7500 0.1282
0.2646 0.7500 0.7193
0.7354 0.2500 0.2807
```

Properties
- Crystal system: monoclinic
- Energy relative to the elements, uncorrected: -0.156 eV per atom

=====

Density functional theory data (PBE) for a geometry-optimized CrCuB3 structure.

POSCAR file:
```
CrCuB3
1.0
3.8397 0.0000 0.0000
0.0000 3.8397 0.0000
0.0000 0.0000 3.8397
Cr Cu B
1 1 3
Direct
0.0000 0.0000 0.0000
0.5000 0.5000 0.5000
0.0000 0.0000 0.5000
0.0000 0.5000 0.0000
0.5000 0.0000 0.0000
```

Properties
- Crystal system: cubic
- ΔE to the lowest computed polymorph: 0.0000 eV/atom

=====

Density functional theory data (PBE) for a geometry-optimized Si2Sn2Au5 structure.

POSCAR file:
```
Si2Sn2Au5
1.0
3.9267 0.0000 0.0000
-1.9503 7.2174 0.0000
-0.0001 -3.5800 7.5592
Si Sn Au
2 2 5
Direct
0.0714 0.1456 0.4489
0.9286 0.8544 0.5511
0.3365 0.6690 0.9527
0.6635 0.3310 0.0473
0.0000 0.0000 0.0000
0.1213 0.2442 0.7662
0.4294 0.8561 0.7174
0.5706 0.1439 0.2826
0.8787 0.7558 0.2338
```

Properties
- Crystal system: triclinic
- Energy relative to the elements, uncorrected: 0.027 eV per atom

=====

Density functional theory data (PBE) for a geometry-optimized Zr2Cd2Hg structure.

POSCAR file:
```
Zr2Cd2Hg
1.0
2.3590 -7.3782 0.0000
2.3590 7.3782 0.0000
0.0000 0.0000 3.0980
Zr Cd Hg
2 2 1
Direct
0.1052 0.8948 0.0000
0.8948 0.1052 0.0000
0.3000 0.7000 0.5000
0.7000 0.3000 0.5000
0.5000 0.5000 0.5000
```

Properties
- Crystal system: orthorhombic
- ΔE to the lowest computed polymorph: 0.0000 eV/atom

=====

Density functional theory data (PBE) for a geometry-optimized Dy2HoScBi4 structure.

POSCAR file:
```
Dy2HoScBi4
1.0
7.6611 0.0000 0.0000
0.0000 4.4262 0.0000
-2.5537 0.0000 7.2237
Dy Ho Sc Bi
2 1 1 4
Direct
0.0000 0.0000 0.0000
0.0000 0.5000 0.5000
0.5000 0.0000 0.5000
0.5000 0.5000 0.0000
0.2556 0.5000 0.2459
0.2598 0.0000 0.7590
0.7402 0.0000 0.2410
0.7444 0.5000 0.7541
```

Properties
- Energy: -42.00 eV per cell
- Crystal system: monoclinic

=====

Density functional theory data (PBE) for a geometry-optimized LaEuGeCl structure.

POSCAR file:
```
LaEuGeCl
1.0
0.0000 3.7432 3.7432
3.7432 0.0000 3.7432
3.7432 3.7432 0.0000
La Eu Ge Cl
1 1 1 1
Direct
0.0000 0.0000 0.0000
0.5000 0.5000 0.5000
0.7500 0.7500 0.7500
0.2500 0.2500 0.2500
```

Properties
- Crystal system: cubic
- Energy relative to the elements, uncorrected: -1.118 eV per atom

=====

Density functional theory data (PBE) for a geometry-optimized LaPrSm2Tm structure.

POSCAR file:
```
LaPrSm2Tm
1.0
9.1555 0.0000 0.0000
0.0000 6.4767 0.0000
-2.2119 0.0000 6.0636
La Pr Sm Tm
2 2 4 2
Direct
0.0000 0.0000 0.0000
0.0000 0.0000 0.5000
0.5000 0.1612 0.2500
0.5000 0.8388 0.7500
0.3162 0.3264 0.6593
0.3162 0.6736 0.1593
0.6838 0.3264 0.8407
0.6838 0.6736 0.3407
0.0000 0.4964 0.2500
0.0000 0.5036 0.7500
```

Properties
- Energy: -44.63 eV per cell
- Crystal system: monoclinic

=====

Copy entry 6 word for word.
Density functional theory data (PBE) for a geometry-optimized Dy2HoScBi4 structure.

POSCAR file:
```
Dy2HoScBi4
1.0
7.6611 0.0000 0.0000
0.0000 4.4262 0.0000
-2.5537 0.0000 7.2237
Dy Ho Sc Bi
2 1 1 4
Direct
0.0000 0.0000 0.0000
0.0000 0.5000 0.5000
0.5000 0.0000 0.5000
0.5000 0.5000 0.0000
0.2556 0.5000 0.2459
0.2598 0.0000 0.7590
0.7402 0.0000 0.2410
0.7444 0.5000 0.7541
```

Properties
- Energy: -42.00 eV per cell
- Crystal system: monoclinic